No. 1
Material: Dy2W2N7
Method: DFT, PBE
State: optimized geometry

a = 7.085 Å, b = 9.594 Å, c = 5.449 Å
α = 90.00°, β = 102.16°, γ = 90.00°
Space group C2/m (No. 12)
Asymmetric unit:
Dy1 0.000 0.191 0.000 x4
W1 0.239 0.500 0.403 x4
N1 0.000 0.500 0.500 x2
N2 0.080 0.000 0.283 x4
N3 0.239 0.339 0.212 x8

Calculated density, kg/m³: 7252
E_form (uncorrected), meV/atom: -466
D(E_F), states/eV/cell: 9.52
Volume, Å³ per atom: 16.46

=====

No. 2
Material: Dy3W5N12
Method: DFT, PBE
State: optimized geometry

a = 12.799 Å, b = 12.799 Å, c = 12.799 Å
α = 90.00°, β = 90.00°, γ = 90.00°
Space group Ia-3d (No. 230)
Asymmetric unit:
Dy1 0.000 0.250 0.125 x24
W1 0.000 0.000 0.000 x16
W2 0.000 0.250 0.375 x24
N1 0.032 0.052 0.649 x96

Calculated density, kg/m³: 9978
E_form (uncorrected), meV/atom: -798
D(E_F), states/eV/cell: 53.86
Volume, Å³ per atom: 13.10

=====

No. 3
Material: DyWN4
Method: DFT, PBE
State: optimized geometry

a = 7.153 Å, b = 6.400 Å, c = 7.298 Å
α = 90.00°, β = 90.00°, γ = 90.00°
Space group Cmcm (No. 63)
Asymmetric unit:
Dy1 0.000 0.085 0.250 x4
W1 0.000 0.417 0.750 x4
N1 0.000 0.234 0.548 x8
N2 0.204 0.398 0.250 x8

Calculated density, kg/m³: 7999
E_form (uncorrected), meV/atom: 19
D(E_F), states/eV/cell: 15.34
Volume, Å³ per atom: 13.92

=====

No. 4
Material: DyYW2N6
Method: DFT, PBE
State: optimized geometry

a = 11.185 Å, b = 9.623 Å, c = 6.304 Å
α = 90.00°, β = 112.12°, γ = 90.00°
Space group C2/c (No. 15)
Asymmetric unit:
Dy1 0.000 0.211 0.250 x4
Y1 0.000 0.410 0.750 x4
W1 0.209 0.089 0.725 x8
N1 0.111 0.391 0.155 x8
N2 0.130 0.256 0.659 x8
N3 0.145 0.011 0.428 x8

Calculated density, kg/m³: 7430
E_form (uncorrected), meV/atom: -1005
D(E_F), states/eV/cell: 0.00
Volume, Å³ per atom: 15.71

=====

No. 5
Material: Dy4YN5
Method: DFT, PBE
State: optimized geometry

a = 3.475 Å, b = 3.475 Å, c = 24.564 Å
α = 90.00°, β = 90.00°, γ = 90.00°
Space group I4/mmm (No. 139)
Asymmetric unit:
Dy1 0.000 0.000 0.100 x4
Dy2 0.000 0.000 0.300 x4
Y1 0.000 0.000 0.500 x2
N1 0.000 0.000 0.000 x2
N2 0.000 0.000 0.200 x4
N3 0.000 0.000 0.400 x4

Calculated density, kg/m³: 9058
E_form (uncorrected), meV/atom: -1703
D(E_F), states/eV/cell: 0.70
Volume, Å³ per atom: 14.83

=====

No. 6
Material: DyY4N5
Method: DFT, PBE
State: optimized geometry

a = 3.478 Å, b = 3.478 Å, c = 24.586 Å
α = 90.00°, β = 90.00°, γ = 90.00°
Space group I4/mmm (No. 139)
Asymmetric unit:
Dy1 0.000 0.000 0.000 x2
Y1 0.000 0.000 0.200 x4
Y2 0.000 0.000 0.400 x4
N1 0.000 0.000 0.100 x4
N2 0.000 0.000 0.300 x4
N3 0.000 0.000 0.500 x2

Calculated density, kg/m³: 6568
E_form (uncorrected), meV/atom: -1696
D(E_F), states/eV/cell: 0.60
Volume, Å³ per atom: 14.87

=====

No. 7
Material: DyY5N6
Method: DFT, PBE
State: optimized geometry

a = 6.023 Å, b = 10.434 Å, c = 6.023 Å
α = 90.00°, β = 109.46°, γ = 90.00°
Space group C2/m (No. 12)
Asymmetric unit:
Dy1 0.000 0.000 0.000 x2
Y1 0.000 0.167 0.500 x4
Y2 0.000 0.333 0.000 x4
Y3 0.000 0.500 0.500 x2
N1 0.250 0.000 0.750 x4
N2 0.250 0.166 0.250 x8

Calculated density, kg/m³: 6430
E_form (uncorrected), meV/atom: -1696
D(E_F), states/eV/cell: 0.57
Volume, Å³ per atom: 14.87

=====

No. 8
Material: DyY2N2
Method: DFT, PBE
State: optimized geometry

a = 11.158 Å, b = 4.951 Å, c = 7.065 Å
α = 90.00°, β = 109.72°, γ = 90.00°
Space group C2/m (No. 12)
Asymmetric unit:
Dy1 0.157 0.000 0.093 x4
Y1 0.007 0.500 0.735 x4
Y2 0.164 0.000 0.574 x4
N1 0.001 0.000 0.248 x4
N2 0.167 0.500 0.584 x4

Calculated density, kg/m³: 6660
E_form (uncorrected), meV/atom: -1314
D(E_F), states/eV/cell: 11.75
Volume, Å³ per atom: 18.37

=====

No. 9
Material: DyY2N
Method: DFT, PBE
State: optimized geometry

a = 3.4961 Å, b = 3.4961 Å, c = 26.9368 Å
α = 90.00°, β = 90.00°, γ = 120.00°
Space group R-3m (No. 166, hexagonal axes)
Asymmetric unit:
Dy1 0.0000 0.0000 0.0000 x3
Y1 0.0000 0.0000 0.2172 x6
N1 0.0000 0.0000 0.5000 x3

Calculated density, kg/m³: 6190
E_form (uncorrected), meV/atom: -773
D(E_F), states/eV/cell: 11.65
Volume, Å³ per atom: 23.76

=====

No. 10
Material: DyY3N3
Method: DFT, PBE
State: optimized geometry

a = 6.1373 Å, b = 6.1373 Å, c = 25.8818 Å
α = 90.00°, β = 90.00°, γ = 120.00°
Space group R-3 (No. 148, hexagonal axes)
Asymmetric unit:
Dy1 0.0000 0.0000 0.1667 x6
Y1 0.0001 0.3191 0.6019 x18
N1 0.9999 0.3674 0.4402 x18

Calculated density, kg/m³: 5561
E_form (uncorrected), meV/atom: -1215
D(E_F), states/eV/cell: 8.52
Volume, Å³ per atom: 20.10

=====

No. 11
Material: Dy5YN6
Method: DFT, PBE
State: optimized geometry

a = 6.017 Å, b = 10.423 Å, c = 6.017 Å
α = 90.00°, β = 109.46°, γ = 90.00°
Space group C2/m (No. 12)
Asymmetric unit:
Dy1 0.000 0.000 0.000 x2
Dy2 0.000 0.167 0.500 x4
Dy3 0.000 0.333 0.000 x4
Y1 0.000 0.500 0.500 x2
N1 0.250 0.000 0.750 x4
N2 0.250 0.167 0.250 x8

Calculated density, kg/m³: 9197
E_form (uncorrected), meV/atom: -1705
D(E_F), states/eV/cell: 0.59
Volume, Å³ per atom: 14.83

=====

No. 12
Material: DyY2N3
Method: DFT, PBE
State: optimized geometry

a = 6.022 Å, b = 10.431 Å, c = 6.022 Å
α = 90.00°, β = 109.46°, γ = 90.00°
Space group C2/m (No. 12)
Asymmetric unit:
Dy1 0.000 0.167 0.000 x4
Y1 0.000 0.000 0.500 x2
Y2 0.000 0.333 0.500 x4
Y3 0.000 0.500 0.000 x2
N1 0.249 0.000 0.250 x4
N2 0.250 0.167 0.751 x8

Calculated density, kg/m³: 7120
E_form (uncorrected), meV/atom: -1699
D(E_F), states/eV/cell: 0.08
Volume, Å³ per atom: 14.86